Record 1
Density functional theory data (PBE) for a relaxed Pu3AsN2 crystal.

Computed properties:
offset from the most stable computed form	0.1020	eV per atom
VASP energy	-11.7414	eV/atom
space-group type	No. 71
calculated volume	113	Å³/f.u.
E_form (uncorrected)	-23.6	kcal/mol of atoms
total moment	4.29	μB/f.u.

extended XYZ file:
```
6
Lattice="-1.897 2.443 6.094 1.897 -2.443 6.094 1.897 2.443 -6.094" Properties=species:S:1:pos:R:3 pbc="T T T"
Pu 0.000 0.000 0.000
Pu 1.897 0.000 3.761
Pu 0.000 2.443 2.332
As 0.000 0.000 6.094
N 0.000 0.000 2.449
N 0.000 0.000 9.738
```

***

Record 2
Density functional theory data (PBE) for a relaxed RbZrSn2I crystal.

Computed properties:
VASP energy	-2.8537	eV/atom
space-group type	No. 123
calculated volume	217	Å³/f.u.
E_form (uncorrected)	22.2	kcal/mol of atoms
total moment	2.03	μB/f.u.

extended XYZ file:
```
5
Lattice="5.956 0.000 0.000 0.000 5.956 0.000 0.000 0.000 6.105" Properties=species:S:1:pos:R:3 pbc="T T T"
Rb 0.000 0.000 0.000
Zr 2.978 2.978 0.000
Sn 0.000 2.978 3.052
Sn 2.978 0.000 3.052
I 0.000 0.000 3.052
```